# AsRh2Se PBE relaxed
# DOS(E_F), states/eV/atom: 0.4883
# ΔE_f (raw), eV per atom: -0.30
# Offset from the most stable computed form, eV/atom: 0.0784
# Total DFT energy (no corrections), eV for the cell shown: -24.017
# SG: P4mm
data_AsRh2Se
_cell_length_a 3.476
_cell_length_b 3.476
_cell_length_c 5.466
_cell_angle_alpha 90.00
_cell_angle_beta 90.00
_cell_angle_gamma 90.00
_symmetry_space_group_name_H-M 'P 1'
_symmetry_Int_Tables_number 1
_symmetry_space_group_name_Hall 'P 1'
loop_
_atom_site_label
_atom_site_fract_x
_atom_site_fract_y
_atom_site_fract_z
As1 0.000 0.000 0.000
Rh1 0.000 0.000 0.454
Rh2 0.500 0.500 0.142
Se1 0.500 0.500 0.588